# Ho3NiRu | the Alexandria database | PBE-GGA | optimized geometry
data_Ho3NiRu
_chemical_formula_sum 'Ho6 Ni2 Ru2'
_space_group_name_H-M_alt 'P 1 21/m 1'
_space_group_IT_number 11
_space_group_name_Hall '-P 2yb'
_cell_length_a 6.048
_cell_length_b 4.187
_cell_length_c 8.828
_cell_angle_alpha 90.00
_cell_angle_beta 90.35
_cell_angle_gamma 90.00
loop_
_atom_site_label
_atom_site_fract_x
_atom_site_fract_y
_atom_site_fract_z
Ho1 0.239 0.250 0.054
Ho2 0.240 0.250 0.446
Ho3 0.256 0.750 0.750
Ni1 0.462 0.750 0.250
Ru1 0.047 0.750 0.250
# ΔE to the lowest computed polymorph   7 meV per atom
# Energy relative to the elements   -0.356 eV per atom

=====

# YMg5Cd7 | the Alexandria database | PBE-GGA | optimized geometry
data_YMg5Cd7
_chemical_formula_sum 'Y2 Mg10 Cd14'
_space_group_name_H-M_alt 'I m m 2'
_space_group_IT_number 44
_space_group_name_Hall 'I 2 -2'
_cell_length_a 6.041
_cell_length_b 9.901
_cell_length_c 9.772
_cell_angle_alpha 90.00
_cell_angle_beta 90.00
_cell_angle_gamma 90.00
loop_
_atom_site_label
_atom_site_fract_x
_atom_site_fract_y
_atom_site_fract_z
Y1 0.000 0.000 0.000
Mg1 0.000 0.500 0.282
Mg2 0.248 0.253 0.749
Cd1 0.000 0.000 0.349
Cd2 0.000 0.000 0.660
Cd3 0.000 0.287 0.496
Cd4 0.000 0.347 0.002
Cd5 0.000 0.500 0.712
# Energy relative to the elements   -0.143 eV per atom

=====

# U4OsRu2 | the Alexandria database | PBE-GGA | optimized geometry
data_U4OsRu2
_chemical_formula_sum 'U16 Os4 Ru8'
_space_group_name_H-M_alt 'C 1 2/c 1'
_space_group_IT_number 15
_space_group_name_Hall '-C 2yc'
_cell_length_a 15.201
_cell_length_b 5.458
_cell_length_c 6.273
_cell_angle_alpha 90.00
_cell_angle_beta 93.05
_cell_angle_gamma 90.00
loop_
_atom_site_label
_atom_site_fract_x
_atom_site_fract_y
_atom_site_fract_z
U1 0.074 0.134 0.372
U2 0.141 0.319 0.020
Os1 0.000 0.371 0.750
Ru1 0.231 0.149 0.692
# Energy relative to the elements   -0.148 eV per atom

=====

# AcNd6Y5 | the Alexandria database | PBE-GGA | optimized geometry
data_AcNd6Y5
_chemical_formula_sum 'Ac2 Nd12 Y10'
_space_group_name_H-M_alt 'C 1 2/m 1'
_space_group_IT_number 12
_space_group_name_Hall '-C 2y'
_cell_length_a 6.349
_cell_length_b 10.997
_cell_length_c 12.097
_cell_angle_alpha 90.00
_cell_angle_beta 100.08
_cell_angle_gamma 90.00
loop_
_atom_site_label
_atom_site_fract_x
_atom_site_fract_y
_atom_site_fract_z
Ac1 0.000 0.000 0.000
Nd1 0.247 0.332 0.746
Nd2 0.250 0.000 0.745
Y1 0.000 0.167 0.500
Y2 0.000 0.333 0.000
Y3 0.000 0.500 0.500
# ΔE to the lowest computed polymorph   0 meV per atom
# Energy relative to the elements   0.022 eV per atom

=====

# Sc2FeCl | the Alexandria database | PBE-GGA | optimized geometry
data_Sc2FeCl
_chemical_formula_sum 'Sc4 Fe2 Cl2'
_space_group_name_H-M_alt 'I m m 2'
_space_group_IT_number 44
_space_group_name_Hall 'I 2 -2'
_cell_length_a 3.166
_cell_length_b 3.334
_cell_length_c 14.285
_cell_angle_alpha 90.00
_cell_angle_beta 90.00
_cell_angle_gamma 90.00
loop_
_atom_site_label
_atom_site_fract_x
_atom_site_fract_y
_atom_site_fract_z
Sc1 0.000 0.000 0.000
Sc2 0.000 0.500 0.290
Fe1 0.000 0.000 0.415
Cl1 0.000 0.500 0.667
# Formation energy (no corrections)   -0.513 eV/atom
# ΔE to the lowest computed polymorph   193 meV per atom

=====

# La7Pr2Nd2 | the Alexandria database | PBE-GGA | optimized geometry
data_La7Pr2Nd2
_chemical_formula_sum 'La14 Pr4 Nd4'
_space_group_name_H-M_alt 'C 1 2/m 1'
_space_group_IT_number 12
_space_group_name_Hall '-C 2y'
_cell_length_a 11.749
_cell_length_b 11.704
_cell_length_c 6.293
_cell_angle_alpha 90.00
_cell_angle_beta 111.40
_cell_angle_gamma 90.00
loop_
_atom_site_label
_atom_site_fract_x
_atom_site_fract_y
_atom_site_fract_z
La1 0.000 0.000 0.000
La2 0.075 0.500 0.805
La3 0.185 0.228 0.178
Pr1 0.229 0.000 0.597
Nd1 0.000 0.215 0.500
# ΔE to the lowest computed polymorph   0 meV per atom
# Energy relative to the elements   0.107 eV per atom